The following is a PBE calculation of a relaxed Na2YBe crystal, from Alexandria.

Values from the calculation:
Calculated volume: 104.3 Å³/f.u.

Cell: 4.1755 4.1755 23.9282 Å, 90.00 90.00 90.00°
Space group I-42d (No. 122)
Unique sites:
Na (0.2187, 0.2500, 0.1250) [8 per cell]
Y (0.0000, 0.0000, 0.5000) [4 per cell]
Be (0.0000, 0.0000, 0.0000) [4 per cell]

=====

The following is a PBE calculation of a relaxed NaY2Be2 crystal, from Alexandria.

Values from the calculation:
Calculated volume: 112.2 Å³/f.u.

Cell: 7.8108 7.8108 3.6783 Å, 90.00 90.00 90.00°
Space group P4/mbm (No. 127)
Unique sites:
Na (0.0000, 0.0000, 0.0000) [2 per cell]
Y (0.1727, 0.3273, 0.5000) [4 per cell]
Be (0.1033, 0.6033, 0.0000) [4 per cell]

=====

The following is a PBE calculation of a relaxed Na3YBe crystal, from Alexandria.

Values from the calculation:
Calculated volume: 150.7 Å³/f.u.
Relative energy among the computed polymorphs: 0.00 eV/f.u.

Cell: 5.3221 5.3221 5.3221 Å, 90.00 90.00 90.00°
Space group Pm-3m (No. 221)
Unique sites:
Na (0.0000, 0.0000, 0.5000) [3 per cell]
Y (0.5000, 0.5000, 0.5000) [1 per cell]
Be (0.0000, 0.0000, 0.0000) [1 per cell]

=====

The following is a PBE calculation of a relaxed Na2YBeZn crystal, from Alexandria.

Values from the calculation:
Calculated volume: 115.5 Å³/f.u.

Cell: 5.0686 5.0686 4.4965 Å, 90.00 90.00 90.00°
Space group P4/mmm (No. 123)
Unique sites:
Na (0.0000, 0.5000, 0.0000) [2 per cell]
Y (0.0000, 0.0000, 0.5000) [1 per cell]
Be (0.5000, 0.5000, 0.0000) [1 per cell]
Zn (0.5000, 0.5000, 0.5000) [1 per cell]

=====

The following is a PBE calculation of a relaxed NaBe2Zn2 crystal, from Alexandria.

Values from the calculation:
Calculated volume: 68.2 Å³/f.u.
Relative energy among the computed polymorphs: 0.10 eV/f.u.

Cell: 7.3847 7.3847 2.5001 Å, 90.00 90.00 90.00°
Space group P4/mbm (No. 127)
Unique sites:
Na (0.0000, 0.0000, 0.0000) [2 per cell]
Be (0.1583, 0.3417, 0.5000) [4 per cell]
Zn (0.1347, 0.6347, 0.0000) [4 per cell]

=====

The following is a PBE calculation of a relaxed NaBe3Zn crystal, from Alexandria.

Values from the calculation:
Calculated volume: 86.9 Å³/f.u.
Relative energy among the computed polymorphs: 5.70 eV/f.u.

Cell: 4.4293 4.4293 4.4293 Å, 90.00 90.00 90.00°
Space group Pm-3m (No. 221)
Unique sites:
Na (0.0000, 0.0000, 0.0000) [1 per cell]
Be (0.0000, 0.0000, 0.5000) [3 per cell]
Zn (0.5000, 0.5000, 0.5000) [1 per cell]

=====

The following is a PBE calculation of a relaxed NaBe2Zn2 crystal, from Alexandria.

Values from the calculation:
Calculated volume: 67.1 Å³/f.u.
Relative energy among the computed polymorphs: 0.00 eV/f.u.

Cell: 7.2721 7.2721 2.5392 Å, 90.00 90.00 90.00°
Space group P4/mbm (No. 127)
Unique sites:
Na (0.0000, 0.0000, 0.0000) [2 per cell]
Be (0.1152, 0.3848, 0.0000) [4 per cell]
Zn (0.1747, 0.6747, 0.5000) [4 per cell]

=====

The following is a PBE calculation of a relaxed Na2BeZn crystal, from Alexandria.

Values from the calculation:
Calculated volume: 115.7 Å³/f.u.
Relative energy among the computed polymorphs: 0.00 eV/f.u.

Cell: 10.2716 10.2716 4.3864 Å, 90.00 90.00 90.00°
Space group I-42d (No. 122)
Unique sites:
Na (0.0947, 0.7500, 0.1250) [8 per cell]
Be (0.0000, 0.0000, 0.0000) [4 per cell]
Zn (0.0000, 0.0000, 0.5000) [4 per cell]

=====

no.,energy of formation (eV/atom),total magnetization (μB/atom)
1,0.56,0.000
2,0.26,0.000
3,0.78,0.048
4,0.51,0.000
5,0.20,0.000
6,1.80,0.000
7,0.18,0.000
8,0.46,0.000